# 1
A geometry-optimized Sm2TlCuPd structure, computed with PBE.

extended XYZ file:
```
5
Lattice="-3.0723 -1.9673 -0.8914 3.3142 -6.4151 2.7355 1.2472 -4.6743 6.0180" Properties=species:S:1:pos:R:3 pbc="T T T"
Sm 0.1302 -5.0348 2.7521
Sm 1.3510 -8.0029 5.0949
Cu 3.6607 -8.8997 7.0250
Pd 0.9155 -2.2256 1.7568
Tl 4.5545 -11.0727 8.7403
```

Computed properties:
Energy in eV per atom: -4.676
Symmetry: Amm2 (38)

***

# 2
A geometry-optimized SmZnCu2Pd2 structure, computed with PBE.

extended XYZ file:
```
6
Lattice="-0.5129 2.5543 -4.5239 -4.2413 -1.3013 2.7515 0.2083 3.7591 2.0989" Properties=species:S:1:pos:R:3 pbc="T T T"
Cu -2.0165 1.2289 2.4252
Sm 0.0000 0.0000 0.0000
Pd -1.7567 1.2681 -2.0969
Cu -0.1523 3.1567 -1.2125
Zn -2.2730 2.5061 0.1632
Pd -2.9976 -0.0151 0.3245
```

Computed properties:
Symmetry: Cmmm (65)
Formation enthalpy at 0 K in meV/atom: -512

***

# 3
A geometry-optimized CuSn2Pd2 structure, computed with PBE.

extended XYZ file:
```
5
Lattice="5.8800 1.9841 2.1088 2.9883 5.5122 -1.9086 -5.7611 -2.2393 2.1802" Properties=species:S:1:pos:R:3 pbc="T T T"
Cu 0.0000 0.0000 0.0000
Sn 2.2765 1.7465 2.1945
Pd 5.4211 4.5825 0.1223
Pd 3.4471 2.9139 0.0778
Sn 0.8307 3.5106 0.1858
```

Computed properties:
Energy in eV per atom: -4.281
Symmetry: I4/mmm (139)

***

# 4
A geometry-optimized Cu5SnPd6 structure, computed with PBE.

extended XYZ file:
```
12
Lattice="-3.1078 0.6391 2.6701 -1.0041 -5.7145 -3.0195 3.4781 -3.1445 4.7957" Properties=species:S:1:pos:R:3 pbc="T T T"
Cu -1.6719 -3.5258 -1.1008
Sn 0.0000 0.0000 0.0000
Pd 0.0341 -2.6222 0.6652
Pd -2.3582 -4.0687 1.4488
Pd -0.6586 -0.4898 2.5693
Cu -0.6664 -3.0497 3.1712
Pd 1.7244 -4.1512 2.9975
Cu -2.4400 -1.5495 0.7513
Pd 1.0290 -2.0156 4.8964
Pd -0.6679 -5.5976 3.7811
Cu 0.0326 -5.1701 1.2751
Cu 1.7391 -1.5723 2.3978
```

Computed properties:
Energy in eV per atom: -4.728
Symmetry: Cmmm (65)

***

# 5
A geometry-optimized Cu2Sn2Pd structure, computed with PBE.

extended XYZ file:
```
5
Lattice="-1.7486 1.7486 7.2111 1.7486 -1.7486 7.2111 1.7486 1.7486 -7.2111" Properties=species:S:1:pos:R:3 pbc="T T T"
Cu 0.0000 1.7486 3.6056
Sn 0.0000 0.0000 5.6914
Pd 0.0000 0.0000 0.0000
Sn 0.0000 0.0000 8.7309
Cu 1.7486 0.0000 3.6056
```

Computed properties:
Energy in eV per atom: -4.127
Symmetry: I4/mmm (139)

***

# 6
A geometry-optimized CuSnPdW structure, computed with PBE.

extended XYZ file:
```
4
Lattice="-1.6682 3.3316 2.5660 0.4035 4.3031 -1.3367 -3.6507 2.2960 -1.3664" Properties=species:S:1:pos:R:3 pbc="T T T"
W -2.4577 4.9653 -0.0685
Pd -1.2289 2.4827 -0.0343
Cu -3.6866 7.4480 -0.1028
Sn 0.0000 0.0000 0.0000
```

Computed properties:
Energy in eV per atom: -6.051
Symmetry: F-43m (216)

***

Calculated calculated density, 9457 9064 7953 10345 8867 11984 kg/m³ (same order as the records).